Entry from Alexandria: crystalline PmTm5Ni2 at its relaxed geometry (PBE).

Computed properties:
D(E_F) ... 1.43 states/eV/atom
Calculated formation energy ... -1.3 eV/f.u.
Space-group type ... Cmcm
Distance to the lowest polymorph of the same formula ... 0 meV/atom

Unit cell a=3.5899 b=6.6894 c=18.1250 alpha=90.00 beta=90.00 gamma=105.56
Closest atoms and distances in Å follow each position.
Fractional coordinates of all 16 atoms:
Tm 0.5885 0.1769 0.2500  2 Ni 2.68
Tm 0.0635 0.1270 0.4104  2 Ni 2.77
Tm 0.4115 0.8231 0.7500  2 Ni 2.68
Tm 0.0635 0.1270 0.0896  2 Ni 2.77
Tm 0.3296 0.6592 0.4434  2 Ni 2.70
Tm 0.6704 0.3408 0.5566  2 Ni 2.70
Tm 0.9365 0.8730 0.9104  2 Ni 2.77
Tm 0.6704 0.3408 0.9434  2 Ni 2.70
Tm 0.9365 0.8730 0.5896  2 Ni 2.77
Tm 0.3296 0.6592 0.0566  2 Ni 2.70
Ni 0.2843 0.5687 0.8667  5 Tm 2.68-2.77
Ni 0.7157 0.4313 0.1333  5 Tm 2.68-2.77
Ni 0.7157 0.4313 0.3667  5 Tm 2.68-2.77
Ni 0.2843 0.5687 0.6333  5 Tm 2.68-2.77
Pm 0.6833 0.3666 0.7500  4 Ni 3.06
Pm 0.3167 0.6334 0.2500  4 Ni 3.06

---

Entry from Alexandria: crystalline LiCuPO4 at its relaxed geometry (PBE).

Computed properties:
Raw formation energy ... -12.5 eV per formula unit
D(E_F) ... 0.44 states/eV/atom
Space-group type ... Pna2_1
Distance to the lowest polymorph of the same formula ... 24 meV/atom

Unit cell a=4.9254 b=7.0286 c=9.8608 alpha=90.00 beta=90.00 gamma=90.00
Closest atoms and distances in Å follow each position.
Fractional coordinates of all 28 atoms:
P 0.8035 0.0365 0.4065  4 O 1.55-1.56
P 0.3035 0.5365 0.0935  4 O 1.55-1.56
P 0.6965 0.0365 0.9065  4 O 1.55-1.56
P 0.1965 0.5365 0.5935  4 O 1.55-1.56
Li 0.2043 0.7875 0.8428  4 O 1.96-2.01
Li 0.7043 0.2875 0.6572  4 O 1.96-2.01
Li 0.7957 0.2875 0.1572  4 O 1.96-2.01
Li 0.2957 0.7875 0.3428  4 O 1.96-2.01
O 0.6155 0.5368 0.1215  1 P 1.56
O 0.2471 0.5357 0.9380  1 P 1.56
O 0.8177 0.2215 0.8457  1 P 1.55
O 0.3845 0.0368 0.8785  1 P 1.56
O 0.6823 0.2215 0.3457  1 P 1.55
O 0.7471 0.0357 0.5620  1 P 1.56
O 0.7529 0.0357 0.0620  1 P 1.56
O 0.1155 0.0368 0.3785  1 P 1.56
O 0.6824 0.8536 0.3425  1 P 1.55
O 0.1823 0.7215 0.1543  1 P 1.55
O 0.3176 0.3536 0.6575  1 P 1.55
O 0.1824 0.3536 0.1575  1 P 1.55
O 0.2529 0.5357 0.4380  1 P 1.56
O 0.8176 0.8536 0.8425  1 P 1.55
O 0.3177 0.7215 0.6543  1 P 1.55
O 0.8845 0.5368 0.6215  1 P 1.56
Cu 0.7826 0.7864 0.1465  4 O 1.95-2.05
Cu 0.2826 0.2864 0.3535  4 O 1.95-2.05
Cu 0.7174 0.7864 0.6465  4 O 1.95-2.05
Cu 0.2174 0.2864 0.8535  4 O 1.95-2.05

---

Entry from Alexandria: crystalline GaC2F at its relaxed geometry (PBE).

Computed properties:
Raw formation energy ... 7.9 eV per formula unit
D(E_F) ... 0.38 states/eV/atom
Space-group type ... Fm-3m
Distance to the lowest polymorph of the same formula ... 203 meV/atom

Unit cell a=3.8271 b=3.8271 c=3.8271 alpha=60.00 beta=60.00 gamma=60.00
Closest atoms and distances in Å follow each position.
Fractional coordinates of all 4 atoms:
C 0.2500 0.2500 0.2500  4 F 2.34, 4 Ga 2.34
C 0.7500 0.7500 0.7500  4 Ga 2.34, 4 F 2.34
F 0.0000 0.0000 0.0000  8 C 2.34
Ga 0.5000 0.5000 0.5000  8 C 2.34

---

Entry from Alexandria: crystalline LaThSbN2 at its relaxed geometry (PBE).

Computed properties:
Raw formation energy ... -5.9 eV per formula unit
D(E_F) ... 1.00 states/eV/atom
Space-group type ... Cmcm

Unit cell a=5.7449 b=5.7641 c=7.7770 alpha=111.75 beta=90.00 gamma=90.00
Closest atoms and distances in Å follow each position.
Fractional coordinates of all 10 atoms:
N 0.5000 0.7412 0.0000  2 Th 2.30, 2 La 2.40
N 0.5000 0.2588 0.0000  2 Th 2.30, 2 La 2.40
N 0.0000 0.7412 0.0000  2 Th 2.30, 2 La 2.40
N 0.0000 0.2588 0.0000  2 Th 2.30, 2 La 2.40
Sb 0.7500 0.7514 0.5028  4 La 3.73-3.76, 4 Th 3.79-3.81, 4 Sb 4.07, 8 N 4.15
Sb 0.2500 0.2486 0.4972  4 La 3.73-3.76, 4 Th 3.79-3.81, 4 Sb 4.07, 8 N 4.15
Th 0.7500 0.4214 0.8429  4 N 2.30
Th 0.2500 0.5786 0.1571  4 N 2.30
La 0.2500 0.9156 0.8312  4 N 2.40
La 0.7500 0.0844 0.1688  4 N 2.40